# AlHg2C

An optimized crystal structure of AlHg2C (GGA-PBE, Alexandria via LeMat-Bulk).

Results
Calculated total energy ... -2.189 eV per atom
ΔE_f ... 1203.8 meV/atom
Density of states at the Fermi level ... 0.880 states/eV per atom
Calculated volume ... 22.756 A^3/atom

```
16
Lattice="5.8617 0.0000 0.0000 0.0000 5.8617 0.0000 0.0000 0.0000 10.5965" Properties=species:S:1:pos:R:3 pbc="T T T"
Al 0.0000 0.0000 0.0000
Al 0.0000 2.9308 2.6491
Al 2.9308 0.0000 7.9474
Al 2.9308 2.9308 5.2983
Hg 0.9376 1.4654 6.6228
Hg 1.4654 3.8684 9.2720
Hg 1.4654 4.9241 3.9737
Hg 1.9933 1.4654 1.3246
Hg 3.8684 4.3963 1.3246
Hg 4.3963 0.9376 3.9737
Hg 4.3963 1.9933 9.2720
Hg 4.9241 4.3963 6.6228
C 0.0000 0.0000 5.2983
C 0.0000 2.9308 7.9474
C 2.9308 0.0000 2.6491
C 2.9308 2.9308 0.0000
```